VASP calculation (PBE+U) on Rb2TeMoF6 after structural relaxation.

Properties
Symmetry   I4/mmm, No. 139
Magnetic moment   0.20 μB/atom
Volume   228.8 Å³ per cell
N(E_F)   1.101 states/eV/atom
Uncorrected energy   -45.31 eV per cell

Unit cell a=6.7123 b=6.7123 c=6.7123 alpha=114.03 beta=114.03 gamma=100.70
With the nearest neighbours (Å) after each atom.
Sites, in units of the cell vectors:
Rb  0.2500  0.7500  0.5000  12 F 3.39-3.65
Rb  0.7500  0.2500  0.5000  12 F 3.39-3.65
Te  0.0000  0.0000  0.0000  2 F 2.16
Mo  0.5000  0.5000  0.0000  6 F 2.08-2.12
F  0.2523  0.2523  0.0000  1 Mo 2.12, 1 Te 2.16
F  0.2992  0.2992  0.5985  1 Mo 2.08
F  0.2992  0.7008  0.0000  1 Mo 2.08
F  0.7008  0.2992  0.0000  1 Mo 2.08
F  0.7008  0.7008  0.4015  1 Mo 2.08
F  0.7477  0.7477  0.0000  1 Mo 2.12, 1 Te 2.16